[1]
Density functional theory data (PBE) for Cs3Tl3VBr8 after structural relaxation.

Lattice parameters (Å, degrees): 9.9353 9.9337 9.5793 121.23 90.00 120.01
Fractional positions:
Cs1 0.5000 0.0000 0.5000
Cs2 0.5000 0.5000 0.5000
Cs3 0.0000 0.5000 0.5000
Tl1 0.0000 0.0000 0.0000
Tl2 0.0000 0.5000 0.0000
Tl3 0.5000 0.5000 0.0000
V1 0.0000 0.0000 0.5000
Br1 0.2420 0.4840 0.2261
Br2 0.7580 0.5160 0.7739
Br3 0.8033 0.6066 0.2914
Br4 0.1967 0.3934 0.7086
Br5 0.8034 0.9881 0.2914
Br6 0.1966 0.0119 0.7086
Br7 0.1848 0.9881 0.2914
Br8 0.8152 0.0119 0.7086

Computed properties:
Crystal system = trigonal
Total DFT energy (no corrections) = -50.082 eV for the cell shown
Energy relative to the elements, uncorrected = -1.19 eV/atom
Density = 4.31 Mg/m³
Magnetic moment = 3.00 Bohr magnetons per cell

[2]
Density functional theory data (PBE) for CsTlV2Br8 after structural relaxation.

Lattice parameters (Å, degrees): 7.2875 7.2875 11.2675 71.13 71.13 60.00
Fractional positions:
Cs1 0.5000 0.5000 0.5000
Tl1 0.0000 0.0000 0.0000
V1 0.2455 0.2455 0.2635
V2 0.7545 0.7545 0.7365
Br1 0.1697 0.1697 0.4909
Br2 0.5565 0.3133 0.1906
Br3 0.8303 0.8303 0.5091
Br4 0.9396 0.5565 0.1906
Br5 0.0604 0.4435 0.8094
Br6 0.3133 0.9396 0.1906
Br7 0.6867 0.0604 0.8094
Br8 0.4435 0.6867 0.8094

Computed properties:
Crystal system = trigonal
Total DFT energy (no corrections) = -46.841 eV for the cell shown
Energy relative to the elements, uncorrected = -1.00 eV/atom
Density = 3.72 Mg/m³
Magnetic moment = 4.00 Bohr magnetons per cell

[3]
Density functional theory data (PBE) for Cs4TlV3Br12 after structural relaxation.

Lattice parameters (Å, degrees): 9.6400 9.6400 9.6400 109.47 109.47 109.47
Fractional positions:
Cs1 0.5000 0.5000 0.5000
Cs2 0.0000 0.0000 0.5000
Cs3 0.5000 0.0000 0.0000
Cs4 0.0000 0.5000 0.0000
Tl1 0.0000 0.0000 0.0000
V1 0.5000 0.0000 0.5000
V2 0.5000 0.5000 0.0000
V3 0.0000 0.5000 0.5000
Br1 0.2500 0.5000 0.7500
Br2 0.7245 0.0000 0.7245
Br3 0.2755 0.0000 0.2755
Br4 0.7500 0.5000 0.2500
Br5 0.7245 0.7245 0.0000
Br6 0.2755 0.2755 0.0000
Br7 0.7500 0.2500 0.5000
Br8 0.2500 0.7500 0.5000
Br9 0.5000 0.2500 0.7500
Br10 0.0000 0.7245 0.7245
Br11 0.5000 0.7500 0.2500
Br12 0.0000 0.2755 0.2755

Computed properties:
Crystal system = cubic
Total DFT energy (no corrections) = -76.716 eV for the cell shown
Energy relative to the elements, uncorrected = -1.18 eV/atom
Density = 4.45 Mg/m³
Magnetic moment = 8.00 Bohr magnetons per cell

[4]
Density functional theory data (PBE) for Cs2TlV2Br7 after structural relaxation.

Lattice parameters (Å, degrees): 5.3248 5.3258 14.6534 79.51 79.53 90.01
Fractional positions:
Cs1 0.8205 0.8196 0.3593
Cs2 0.1795 0.1804 0.6407
Tl1 0.0000 0.0000 0.0000
V1 0.5963 0.5959 0.8078
V2 0.4037 0.4041 0.1922
Br1 0.5000 0.5000 0.0000
Br2 0.3115 0.3113 0.3768
Br3 0.6885 0.6887 0.6232
Br4 0.9115 0.4117 0.1764
Br5 0.4116 0.9118 0.1764
Br6 0.5884 0.0882 0.8236
Br7 0.0885 0.5883 0.8236

Computed properties:
Crystal system = tetragonal
Total DFT energy (no corrections) = -47.148 eV for the cell shown
Energy relative to the elements, uncorrected = -1.09 eV/atom
Density = 4.68 Mg/m³
Magnetic moment = 6.00 Bohr magnetons per cell

[5]
Density functional theory data (PBE) for Cs2Tl2VBr6 after structural relaxation.

Lattice parameters (Å, degrees): 8.3634 8.3634 7.7201 99.95 99.95 115.48
Fractional positions:
Cs1 0.3430 0.6570 0.5000
Cs2 0.6570 0.3430 0.5000
Tl1 0.8337 0.1663 0.0000
Tl2 0.1663 0.8337 0.0000
V1 0.0000 0.0000 0.5000
Br1 0.8292 0.8292 0.7310
Br2 0.0600 0.3238 0.7105
Br3 0.1708 0.1708 0.2690
Br4 0.3238 0.0600 0.7105
Br5 0.9400 0.6762 0.2895
Br6 0.6762 0.9400 0.2895

Computed properties:
Crystal system = monoclinic
Total DFT energy (no corrections) = -38.093 eV for the cell shown
Energy relative to the elements, uncorrected = -1.14 eV/atom
Density = 4.34 Mg/m³
Magnetic moment = 3.00 Bohr magnetons per cell

[6]
Density functional theory data (PBE) for Cs2TlZnBr6 after structural relaxation.

Lattice parameters (Å, degrees): 7.9375 7.9375 7.9493 60.05 60.05 90.00
Fractional positions:
Cs1 0.7500 0.2500 0.5000
Cs2 0.2500 0.7500 0.5000
Tl1 0.0000 0.0000 0.0000
Zn1 0.5000 0.5000 0.0000
Br1 0.2641 0.2641 0.4718
Br2 0.7359 0.7359 0.5282
Br3 0.2646 0.2646 0.0000
Br4 0.7354 0.7354 0.0000
Br5 0.7354 0.2646 0.0000
Br6 0.2646 0.7354 0.0000

Computed properties:
Crystal system = tetragonal
Total DFT energy (no corrections) = -26.763 eV for the cell shown
Energy relative to the elements, uncorrected = -1.14 eV/atom
Density = 4.75 Mg/m³
Magnetic moment = 0.00 Bohr magnetons per cell

[7]
Density functional theory data (PBE) for Cs3TlZn2Br8 after structural relaxation.

Lattice parameters (Å, degrees): 8.1460 8.1460 10.2702 90.00 90.00 120.00
Fractional positions:
Cs1 0.3333 0.6667 0.6296
Cs2 0.6667 0.3333 0.3704
Cs3 0.0000 0.0000 0.0000
Tl1 0.0000 0.0000 0.5000
Zn1 0.3333 0.6667 0.2018
Zn2 0.6667 0.3333 0.7982
Br1 0.3333 0.6667 0.9717
Br2 0.6667 0.3333 0.0283
Br3 0.1741 0.8259 0.2998
Br4 0.8259 0.1741 0.7002
Br5 0.1741 0.3482 0.2998
Br6 0.8259 0.6518 0.7002
Br7 0.6518 0.8259 0.2998
Br8 0.3482 0.1741 0.7002

Computed properties:
Crystal system = trigonal
Total DFT energy (no corrections) = -39.014 eV for the cell shown
Energy relative to the elements, uncorrected = -1.30 eV/atom
Density = 3.86 Mg/m³
Magnetic moment = 0.00 Bohr magnetons per cell

[8]
Density functional theory data (PBE) for CsTlZnBr4 after structural relaxation.

Lattice parameters (Å, degrees): 7.4223 7.7420 10.0315 90.00 109.38 90.00
Fractional positions:
Cs1 0.7105 0.7500 0.9226
Cs2 0.2895 0.2500 0.0774
Tl1 0.7835 0.7500 0.4580
Tl2 0.2165 0.2500 0.5420
Zn1 0.2045 0.7500 0.3036
Zn2 0.7955 0.2500 0.6964
Br1 0.0070 0.5007 0.7499
Br2 0.9930 0.0007 0.2501
Br3 0.9930 0.4993 0.2501
Br4 0.0070 0.9993 0.7499
Br5 0.4048 0.7500 0.1531
Br6 0.5952 0.2500 0.8469
Br7 0.3939 0.7500 0.5529
Br8 0.6061 0.2500 0.4471

Computed properties:
Crystal system = monoclinic
Total DFT energy (no corrections) = -38.923 eV for the cell shown
Energy relative to the elements, uncorrected = -1.18 eV/atom
Density = 4.41 Mg/m³
Magnetic moment = 0.00 Bohr magnetons per cell

[9]
Density functional theory data (PBE) for CsZrTl2Br8 after structural relaxation.

Lattice parameters (Å, degrees): 7.6151 6.1021 9.9102 72.02 90.57 91.05
Fractional positions:
Cs1 0.0000 0.0000 0.5000
Zr1 0.0000 0.0000 0.0000
Tl1 0.5169 0.3198 0.8117
Tl2 0.4831 0.6802 0.1883
Br1 0.0149 0.6411 0.2347
Br2 0.7461 0.8085 0.8873
Br3 0.7578 0.1708 0.1274
Br4 0.9851 0.3589 0.7653
Br5 0.2539 0.1915 0.1127
Br6 0.2422 0.8292 0.8726
Br7 0.4997 0.7532 0.5021
Br8 0.5003 0.2468 0.4979

Computed properties:
Crystal system = triclinic
Total DFT energy (no corrections) = -41.650 eV for the cell shown
Energy relative to the elements, uncorrected = -1.18 eV/atom
Density = 4.82 Mg/m³
Magnetic moment = 0.00 Bohr magnetons per cell

[10]
Density functional theory data (PBE) for CsZrTlBr6 after structural relaxation.

Lattice parameters (Å, degrees): 8.0653 8.0653 14.5789 90.00 90.00 120.00
Fractional positions:
Cs1 0.0000 0.0000 0.0000
Cs2 0.0000 0.0000 0.5000
Zr1 0.6667 0.3333 0.2500
Zr2 0.3333 0.6667 0.7500
Tl1 0.3333 0.6667 0.2500
Tl2 0.6667 0.3333 0.7500
Br1 0.6579 0.5970 0.1439
Br2 0.9391 0.3421 0.1439
Br3 0.3421 0.9391 0.6439
Br4 0.0609 0.6579 0.8561
Br5 0.4030 0.3421 0.3561
Br6 0.9391 0.5970 0.3561
Br7 0.5970 0.9391 0.8561
Br8 0.6579 0.0609 0.3561
Br9 0.0609 0.4030 0.6439
Br10 0.4030 0.0609 0.1439
Br11 0.5970 0.6579 0.6439
Br12 0.3421 0.4030 0.8561

Computed properties:
Crystal system = trigonal
Total DFT energy (no corrections) = -68.784 eV for the cell shown
Energy relative to the elements, uncorrected = -1.40 eV/atom
Density = 3.67 Mg/m³
Magnetic moment = 0.00 Bohr magnetons per cell